# SrSmCo4O12

A geometry-optimized SrSmCo4O12 structure (PBE with a Hubbard U, Alexandria).

E ... -5.8202 eV/atom
D(E_F) ... 8.30 states/eV/cell

a b c (Å): 5.3064 5.3064 7.5422
angles (deg): 90.00 90.00 90.00
With the nearest neighbours (Å) after each atom.
Positions (direct):
O 0.7430 0.2570 0.7607  2 Co 1.88
O 0.2570 0.2570 0.7607  2 Co 1.88
O 0.5000 0.0000 0.5000  2 Co 1.86
O 0.0000 0.5000 0.0000  2 Co 1.91
O 0.2570 0.2570 0.2393  2 Co 1.88
O 0.0000 0.5000 0.5000  2 Co 1.86
O 0.7430 0.2570 0.2393  2 Co 1.88
O 0.7430 0.7430 0.2393  2 Co 1.88
O 0.2570 0.7430 0.7607  2 Co 1.88
O 0.7430 0.7430 0.7607  2 Co 1.88
O 0.5000 0.0000 0.0000  2 Co 1.91
O 0.2570 0.7430 0.2393  2 Co 1.88
Co 0.5000 0.0000 0.7464  6 O 1.86-1.91
Co 0.0000 0.5000 0.2536  6 O 1.86-1.91
Co 0.0000 0.5000 0.7464  6 O 1.86-1.91
Co 0.5000 0.0000 0.2536  6 O 1.86-1.91
Sr 0.0000 0.0000 0.5000  12 O 2.65-2.75
Sm 0.5000 0.5000 0.0000  12 O 2.57-2.65